VASP calculation (GGA+U) on MnCrO3 after structural relaxation.

```
data_MnCrO3
_cell_length_a 11.455
_cell_length_b 3.083
_cell_length_c 6.588
_cell_angle_alpha 90.00
_cell_angle_beta 103.57
_cell_angle_gamma 90.00
_symmetry_space_group_name_H-M 'C 1 2/m 1'
_symmetry_Int_Tables_number 12
_symmetry_space_group_name_Hall '-C 2y'
loop_
_atom_site_label
_atom_site_fract_x
_atom_site_fract_y
_atom_site_fract_z
_atom_site_occupancy
Mn1 0.148 0.000 0.353 1
Cr1 0.130 0.500 0.847 1
O1 0.020 0.000 0.740 1
O2 0.172 0.500 0.566 1
O3 0.180 0.000 0.074 1
```

As for the density of states at the Fermi level: 0.05 states/eV per atom. As for the uncorrected energy: -0.54868 Ry/atom.